# Tb7TmIn4 PBE-GGA optimized geometry
data_Tb7TmIn4
_cell_length_a 14.5769
_cell_length_b 5.6905
_cell_length_c 10.3393
_cell_angle_alpha 90.00
_cell_angle_beta 123.46
_cell_angle_gamma 90.00
_symmetry_space_group_name_H-M 'C 1 2/m 1'
_symmetry_Int_Tables_number 12
loop_
_symmetry_equiv_pos_as_xyz
'x,y,z'
'-x,-y,-z'
'-x,y,-z'
'x,-y,z'
'x+1/2,y+1/2,z'
'-x+1/2,-y+1/2,-z'
'-x+1/2,y+1/2,-z'
'x+1/2,-y+1/2,z'
loop_
_atom_site_label
_atom_site_type_symbol
_atom_site_fract_x
_atom_site_fract_y
_atom_site_fract_z
Tb1 Tb 0.0000 0.0000 0.0000
Tb2 Tb 0.0646 0.5000 0.3976
Tb3 Tb 0.2084 0.5000 0.8794
Tb4 Tb 0.2267 0.0000 0.6703
Tm1 Tm 0.0000 0.5000 0.0000
In1 In 0.0574 0.0000 0.7485
In2 In 0.1810 0.0000 0.3355
# V (Å³/atom): 29.81
# ΔH_f (0 K) (eV per atom): -0.0981
# Total DFT energy (no corrections) (eV/f.u.): -49.01
# Spin magnetization (μB per atom): 0.000

***

# SrPmPb PBE-GGA optimized geometry
data_SrPmPb
_cell_length_a 7.7662
_cell_length_b 7.7662
_cell_length_c 7.7662
_cell_angle_alpha 90.00
_cell_angle_beta 90.00
_cell_angle_gamma 90.00
_symmetry_space_group_name_H-M 'F -4 3 m'
_symmetry_Int_Tables_number 216
_symmetry_space_group_name_Hall 'F -4 2 3'
loop_
_atom_site_label
_atom_site_type_symbol
_atom_site_fract_x
_atom_site_fract_y
_atom_site_fract_z
Sr1 Sr 0.0000 0.0000 0.0000
Pm1 Pm 0.0000 0.0000 0.5000
Pb1 Pb 0.2500 0.2500 0.7500
# V (Å³/atom): 39.03
# Energy above the most stable polymorph in this dataset (meV/atom): 163.6
# ΔH_f (0 K) (eV per atom): -0.2850
# Total DFT energy (no corrections) (eV/f.u.): -11.00
# Spin magnetization (μB per atom): 0.000

***

# Dy3PbNO PBE-GGA optimized geometry
data_Dy3PbNO
_cell_length_a 7.8631
_cell_length_b 3.7107
_cell_length_c 9.4580
_cell_angle_alpha 90.00
_cell_angle_beta 112.81
_cell_angle_gamma 90.00
_symmetry_space_group_name_H-M 'P 1 21/m 1'
_symmetry_Int_Tables_number 11
loop_
_symmetry_equiv_pos_as_xyz
'x,y,z'
'-x,-y,-z'
'-x,y+1/2,-z'
'x,-y+1/2,z'
loop_
_atom_site_label
_atom_site_type_symbol
_atom_site_fract_x
_atom_site_fract_y
_atom_site_fract_z
Dy1 Dy 0.0353 0.2500 0.3747
Dy2 Dy 0.2925 0.2500 0.9318
Dy3 Dy 0.3934 0.7500 0.6484
Pb1 Pb 0.2221 0.7500 0.2091
N1 N 0.1855 0.2500 0.6368
O1 O 0.4114 0.7500 0.8891
# V (Å³/atom): 21.20
# Formation energy (no corrections) (meV/atom): -1663
# Total DFT energy (no corrections) (eV/f.u.): -40.78
# Spin magnetization (μB per atom): 0.000

***

# NaPm2Tc2N6 PBE-GGA optimized geometry
data_NaPm2Tc2N6
_cell_length_a 5.8769
_cell_length_b 6.2231
_cell_length_c 6.8187
_cell_angle_alpha 93.86
_cell_angle_beta 112.26
_cell_angle_gamma 118.08
_symmetry_space_group_name_H-M 'P -1'
_symmetry_Int_Tables_number 2
loop_
_symmetry_equiv_pos_as_xyz
'x,y,z'
'-x,-y,-z'
loop_
_atom_site_label
_atom_site_type_symbol
_atom_site_fract_x
_atom_site_fract_y
_atom_site_fract_z
Na1 Na 0.0000 0.0000 0.0000
Pm1 Pm 0.3860 0.7295 0.2661
Tc1 Tc 0.2202 0.5947 0.6973
N1 N 0.1011 0.6885 0.8767
N2 N 0.2455 0.3295 0.7407
N3 N 0.4817 0.1495 0.3367
# V (Å³/atom): 17.65
# Formation energy (no corrections) (meV/atom): -468
# Total DFT energy (no corrections) (eV/f.u.): -86.65
# Spin magnetization (μB per atom): 0.000

***

# NdSc5 PBE-GGA optimized geometry
data_NdSc5
_cell_length_a 5.7428
_cell_length_b 9.9573
_cell_length_c 5.7610
_cell_angle_alpha 90.00
_cell_angle_beta 109.26
_cell_angle_gamma 90.00
_symmetry_space_group_name_H-M 'C 1 2/m 1'
_symmetry_Int_Tables_number 12
loop_
_symmetry_equiv_pos_as_xyz
'x,y,z'
'-x,-y,-z'
'-x,y,-z'
'x,-y,z'
'x+1/2,y+1/2,z'
'-x+1/2,-y+1/2,-z'
'-x+1/2,y+1/2,-z'
'x+1/2,-y+1/2,z'
loop_
_atom_site_label
_atom_site_type_symbol
_atom_site_fract_x
_atom_site_fract_y
_atom_site_fract_z
Nd1 Nd 0.0000 0.0000 0.0000
Sc1 Sc 0.0000 0.1691 0.5000
Sc2 Sc 0.0000 0.3328 0.0000
Sc3 Sc 0.0000 0.5000 0.5000
# V (Å³/atom): 25.92
# Energy above the most stable polymorph in this dataset (meV/atom): 27.5
# ΔH_f (0 K) (eV per atom): 0.0576
# Total DFT energy (no corrections) (eV/f.u.): -36.08
# Spin magnetization (μB per atom): 0.000

***

# Ho5S5N2 PBE-GGA optimized geometry
data_Ho5S5N2
_cell_length_a 12.4864
_cell_length_b 3.7497
_cell_length_c 10.6103
_cell_angle_alpha 90.00
_cell_angle_beta 106.87
_cell_angle_gamma 90.00
_symmetry_space_group_name_H-M 'C 1 2/m 1'
_symmetry_Int_Tables_number 12
loop_
_symmetry_equiv_pos_as_xyz
'x,y,z'
'-x,-y,-z'
'-x,y,-z'
'x,-y,z'
'x+1/2,y+1/2,z'
'-x+1/2,-y+1/2,-z'
'-x+1/2,y+1/2,-z'
'x+1/2,-y+1/2,z'
loop_
_atom_site_label
_atom_site_type_symbol
_atom_site_fract_x
_atom_site_fract_y
_atom_site_fract_z
Ho1 Ho 0.0000 0.0000 0.0000
Ho2 Ho 0.1002 0.0000 0.3812
Ho3 Ho 0.1535 0.5000 0.7985
S1 S 0.0000 0.5000 0.5000
S2 S 0.1634 0.5000 0.0633
S3 S 0.2492 0.5000 0.3588
N1 N 0.0432 0.0000 0.7966
# V (Å³/atom): 19.81
# Formation energy (no corrections) (meV/atom): -1811
# Total DFT energy (no corrections) (eV/f.u.): -81.90
# Spin magnetization (μB per atom): 0.000